# PBE AcMnNbSi2, optimized geometry
# Density: 7.1 g/cm3
# Magnetization: 2.2 Bohr magnetons per cell
# Formation energy without anion corrections: -2.2 eV per formula unit
data_AcMnNbSi2
_chemical_formula_sum 'Ac1 Mn1 Nb1 Si2'
_cell_length_a 4.179
_cell_length_b 4.179
_cell_length_c 6.499
_cell_angle_alpha 108.76
_cell_angle_beta 108.76
_cell_angle_gamma 90.00
_symmetry_space_group_name_H-M 'P 1'
_symmetry_Int_Tables_number 1
loop_
_symmetry_equiv_pos_as_xyz
'x,y,z'
loop_
_atom_site_label
_atom_site_type_symbol
_atom_site_fract_x
_atom_site_fract_y
_atom_site_fract_z
Ac1 Ac 0.000 0.000 0.000
Si1 Si 0.619 0.619 0.237
Nb1 Nb 0.250 0.750 0.500
Mn1 Mn 0.750 0.250 0.500
Si2 Si 0.381 0.381 0.763


# PBE AcNd2Mn, optimized geometry
# Density: 7.3 g/cm3
# Magnetization: 3.3 Bohr magnetons per cell
# Formation energy from the elements: 18 kJ/mol of atoms
data_AcNd2Mn
_chemical_formula_sum 'Ac1 Nd2 Mn1'
_cell_length_a 3.733
_cell_length_b 3.733
_cell_length_c 9.268
_cell_angle_alpha 90.00
_cell_angle_beta 90.00
_cell_angle_gamma 90.00
_symmetry_space_group_name_H-M 'P 1'
_symmetry_Int_Tables_number 1
loop_
_symmetry_equiv_pos_as_xyz
'x,y,z'
loop_
_atom_site_label
_atom_site_type_symbol
_atom_site_fract_x
_atom_site_fract_y
_atom_site_fract_z
Nd1 Nd 0.000 0.000 0.810
Nd2 Nd 0.000 0.000 0.190
Mn1 Mn 0.500 0.500 0.000
Ac1 Ac 0.500 0.500 0.500


# PBE Ac2NdMnSe6, optimized geometry
# Density: 6.3 g/cm3
# Magnetization: 4.0 Bohr magnetons per cell
# Formation energy without anion corrections: -14.9 eV per formula unit
data_Ac2NdMnSe6
_chemical_formula_sum 'Ac2 Nd1 Mn1 Se6'
_cell_length_a 7.619
_cell_length_b 7.614
_cell_length_c 7.382
_cell_angle_alpha 58.88
_cell_angle_beta 58.88
_cell_angle_gamma 60.00
_symmetry_space_group_name_H-M 'P 1'
_symmetry_Int_Tables_number 1
loop_
_symmetry_equiv_pos_as_xyz
'x,y,z'
loop_
_atom_site_label
_atom_site_type_symbol
_atom_site_fract_x
_atom_site_fract_y
_atom_site_fract_z
Nd1 Nd 0.816 0.816 0.552
Se1 Se 0.981 0.538 0.299
Ac1 Ac 0.532 0.532 0.404
Se2 Se 0.094 0.450 0.804
Se3 Se 0.182 0.981 0.299
Mn1 Mn 0.316 0.316 0.052
Se4 Se 0.450 0.651 0.804
Ac2 Ac 0.100 0.100 0.699
Se5 Se 0.651 0.094 0.804
Se6 Se 0.538 0.182 0.299


# PBE Ac2MnNi9, optimized geometry
# Density: 9.4 g/cm3
# Magnetization: 6.9 Bohr magnetons per cell
# Formation energy from the elements: -2 kJ/mol of atoms
data_Ac2MnNi9
_chemical_formula_sum 'Ac2 Mn1 Ni9'
_cell_length_a 4.998
_cell_length_b 4.998
_cell_length_c 8.953
_cell_angle_alpha 73.79
_cell_angle_beta 73.79
_cell_angle_gamma 60.00
_symmetry_space_group_name_H-M 'P 1'
_symmetry_Int_Tables_number 1
loop_
_symmetry_equiv_pos_as_xyz
'x,y,z'
loop_
_atom_site_label
_atom_site_type_symbol
_atom_site_fract_x
_atom_site_fract_y
_atom_site_fract_z
Ni1 Ni 0.425 0.923 0.227
Ni2 Ni 0.923 0.425 0.227
Mn1 Mn 0.000 0.000 0.000
Ni3 Ni 0.575 0.575 0.773
Ni4 Ni 0.333 0.333 0.002
Ni5 Ni 0.575 0.077 0.773
Ni6 Ni 0.667 0.667 0.998
Ac1 Ac 0.868 0.868 0.397
Ni7 Ni 0.425 0.425 0.227
Ac2 Ac 0.132 0.132 0.603
Ni8 Ni 0.500 0.500 0.500
Ni9 Ni 0.077 0.575 0.773


# PBE Ac3Mn2Ni9, optimized geometry
# Density: 8.9 g/cm3
# Magnetization: 8.6 Bohr magnetons per cell
# Formation energy from the elements: -12 kJ/mol of atoms
data_Ac3Mn2Ni9
_chemical_formula_sum 'Ac3 Mn2 Ni9'
_cell_length_a 4.091
_cell_length_b 8.136
_cell_length_c 8.136
_cell_angle_alpha 73.44
_cell_angle_beta 75.44
_cell_angle_gamma 75.44
_symmetry_space_group_name_H-M 'P 1'
_symmetry_Int_Tables_number 1
loop_
_symmetry_equiv_pos_as_xyz
'x,y,z'
loop_
_atom_site_label
_atom_site_type_symbol
_atom_site_fract_x
_atom_site_fract_y
_atom_site_fract_z
Ni1 Ni 0.105 0.173 0.616
Ni2 Ni 0.105 0.616 0.173
Ni3 Ni 0.303 0.400 0.993
Ni4 Ni 0.895 0.827 0.384
Ni5 Ni 0.697 0.600 0.007
Ni6 Ni 0.697 0.007 0.600
Ac1 Ac 0.301 0.699 0.699
Mn1 Mn 0.500 0.712 0.288
Ac2 Ac 0.000 0.000 0.000
Ni7 Ni 0.303 0.993 0.400
Mn2 Mn 0.500 0.288 0.712
Ac3 Ac 0.699 0.301 0.301
Ni8 Ni 0.895 0.384 0.827
Ni9 Ni 0.000 0.500 0.500


# PBE Ac2Mn2Ni15, optimized geometry
# Density: 9.2 g/cm3
# Magnetization: 13.2 Bohr magnetons per cell
# Formation energy from the elements: -14 kJ/mol of atoms
data_Ac2Mn2Ni15
_chemical_formula_sum 'Ac2 Mn2 Ni15'
_cell_length_a 6.437
_cell_length_b 6.437
_cell_length_c 6.437
_cell_angle_alpha 82.85
_cell_angle_beta 82.85
_cell_angle_gamma 82.85
_symmetry_space_group_name_H-M 'P 1'
_symmetry_Int_Tables_number 1
loop_
_symmetry_equiv_pos_as_xyz
'x,y,z'
loop_
_atom_site_label
_atom_site_type_symbol
_atom_site_fract_x
_atom_site_fract_y
_atom_site_fract_z
Ni1 Ni 0.715 0.000 0.285
Mn1 Mn 0.899 0.899 0.899
Ni2 Ni 0.000 0.285 0.715
Ni3 Ni 0.850 0.338 0.338
Ni4 Ni 0.338 0.338 0.850
Ac1 Ac 0.347 0.347 0.347
Ni5 Ni 0.715 0.285 0.000
Ni6 Ni 0.662 0.150 0.662
Ni7 Ni 0.000 0.500 0.000
Ni8 Ni 0.500 0.000 0.000
Mn2 Mn 0.101 0.101 0.101
Ni9 Ni 0.662 0.662 0.150
Ni10 Ni 0.000 0.000 0.500
Ni11 Ni 0.285 0.715 0.000
Ni12 Ni 0.150 0.662 0.662
Ni13 Ni 0.000 0.715 0.285
Ac2 Ac 0.653 0.653 0.653
Ni14 Ni 0.285 0.000 0.715
Ni15 Ni 0.338 0.850 0.338